## Pm2YHo2 (PBE)

Data for a geometry-optimized Pm2YHo2 structure.

Calculated values
- Formation energy from the elements: 0.020 eV per atom
- Energy above the lowest structure with this stoichiometry: 6 meV/atom
- Total magnetization: 0.00 μB per formula unit

```
Pm2YHo2
1.0
5.945 -1.792 0.000
5.945 1.792 0.000
-4.295 0.000 7.646
Pm Y Ho
2 1 2
Direct
0.099 0.099 0.400 Pm
0.901 0.901 0.600 Pm
0.500 0.500 0.000 Y
0.299 0.299 0.197 Ho
0.701 0.701 0.803 Ho
```

=====

## Pm11Y9Ho4 (PBE)

Data for a geometry-optimized Pm11Y9Ho4 structure.

Calculated values
- Formation energy from the elements: 0.047 eV per atom
- Total magnetization: 0.00 μB per formula unit

```
Pm11Y9Ho4
1.0
8.491 -12.860 0.000
8.491 12.860 0.000
0.000 0.000 3.666
Pm Y Ho
11 9 4
Direct
0.000 0.000 0.000 Pm
0.044 0.407 0.000 Pm
0.160 0.840 0.000 Pm
0.293 0.293 0.000 Pm
0.369 0.631 0.000 Pm
0.407 0.044 0.000 Pm
0.593 0.956 0.000 Pm
0.631 0.369 0.000 Pm
0.707 0.707 0.000 Pm
0.840 0.160 0.000 Pm
0.956 0.593 0.000 Pm
0.068 0.214 0.500 Y
0.165 0.630 0.500 Y
0.214 0.068 0.500 Y
0.370 0.835 0.500 Y
0.500 0.500 0.500 Y
0.630 0.165 0.500 Y
0.786 0.932 0.500 Y
0.835 0.370 0.500 Y
0.932 0.786 0.500 Y
0.242 0.445 0.500 Ho
0.445 0.242 0.500 Ho
0.555 0.758 0.500 Ho
0.758 0.555 0.500 Ho
```

=====

## PmY4Ho (PBE)

Data for a geometry-optimized PmY4Ho structure.

Calculated values
- Formation energy from the elements: 0.069 eV per atom
- Energy above the lowest structure with this stoichiometry: 0 meV/atom
- Total magnetization: 0.00 μB per formula unit

```
PmY4Ho
1.0
5.672 0.000 0.000
-2.836 4.912 0.000
0.000 0.000 6.941
Pm Y Ho
1 4 1
Direct
0.000 0.000 0.000 Pm
0.333 0.667 0.253 Y
0.333 0.667 0.747 Y
0.667 0.333 0.253 Y
0.667 0.333 0.747 Y
0.000 0.000 0.500 Ho
```

=====

## Pm5YHo3 (PBE)

Data for a geometry-optimized Pm5YHo3 structure.

Calculated values
- Formation energy from the elements: 0.312 eV per atom
- Energy above the lowest structure with this stoichiometry: 250 meV/atom
- Total magnetization: 0.00 μB per formula unit

```
Pm5YHo3
1.0
-4.623 4.623 7.183
4.623 -4.623 7.183
4.623 4.623 -7.183
Pm Y Ho
10 2 6
Direct
0.000 0.000 0.000 Pm
0.071 0.571 0.906 Pm
0.165 0.071 0.500 Pm
0.335 0.835 0.906 Pm
0.429 0.335 0.500 Pm
0.500 0.500 0.000 Pm
0.571 0.665 0.500 Pm
0.665 0.165 0.094 Pm
0.835 0.929 0.500 Pm
0.929 0.429 0.094 Pm
0.250 0.750 0.500 Y
0.750 0.250 0.500 Y
0.110 0.390 0.500 Ho
0.250 0.250 0.000 Ho
0.390 0.890 0.280 Ho
0.610 0.110 0.720 Ho
0.750 0.750 0.000 Ho
0.890 0.610 0.500 Ho
```

=====

## PmY4Ho10 (PBE)

Data for a geometry-optimized PmY4Ho10 structure.

Calculated values
- Formation energy from the elements: 0.350 eV per atom
- Total magnetization: 0.00 μB per formula unit

```
PmY4Ho10
1.0
-4.847 4.847 5.235
4.847 -4.847 5.235
4.847 4.847 -5.235
Pm Y Ho
1 4 10
Direct
0.000 0.000 0.000 Pm
0.069 0.334 0.404 Y
0.334 0.931 0.265 Y
0.666 0.069 0.735 Y
0.931 0.666 0.596 Y
0.127 0.453 0.899 Ho
0.228 0.127 0.674 Ho
0.250 0.750 0.500 Ho
0.446 0.772 0.899 Ho
0.453 0.554 0.326 Ho
0.547 0.446 0.674 Ho
0.554 0.228 0.101 Ho
0.750 0.250 0.500 Ho
0.772 0.873 0.326 Ho
0.873 0.547 0.101 Ho
```

=====

## Pm3YHo6 (PBE)

Data for a geometry-optimized Pm3YHo6 structure.

Calculated values
- Formation energy from the elements: 0.153 eV per atom
- Energy above the lowest structure with this stoichiometry: 136 meV/atom
- Total magnetization: 0.00 μB per formula unit

```
Pm3YHo6
1.0
5.440 -9.404 0.000
5.440 9.404 0.000
0.000 0.000 6.373
Pm Y Ho
6 2 12
Direct
0.112 0.888 0.500 Pm
0.208 0.436 0.895 Pm
0.436 0.208 0.395 Pm
0.564 0.792 0.895 Pm
0.792 0.564 0.395 Pm
0.888 0.112 0.000 Pm
0.310 0.690 0.554 Y
0.690 0.310 0.054 Y
0.025 0.446 0.296 Ho
0.123 0.214 0.476 Ho
0.214 0.123 0.976 Ho
0.230 0.770 0.080 Ho
0.446 0.025 0.796 Ho
0.464 0.536 0.285 Ho
0.536 0.464 0.785 Ho
0.554 0.975 0.296 Ho
0.770 0.230 0.580 Ho
0.786 0.877 0.476 Ho
0.877 0.786 0.976 Ho
0.975 0.554 0.796 Ho
```

=====

## Pm3Y8Ho3 (PBE)

Data for a geometry-optimized Pm3Y8Ho3 structure.

Calculated values
- Formation energy from the elements: 0.115 eV per atom
- Energy above the lowest structure with this stoichiometry: 0 meV/atom
- Total magnetization: 0.00 μB per formula unit

```
Pm3Y8Ho3
1.0
-2.839 5.415 7.526
2.839 -5.415 7.526
2.839 5.415 -7.526
Pm Y Ho
3 8 3
Direct
0.000 0.000 0.000 Pm
0.181 0.681 0.500 Pm
0.819 0.319 0.500 Pm
0.120 0.279 0.841 Y
0.239 0.897 0.342 Y
0.438 0.279 0.159 Y
0.445 0.103 0.342 Y
0.555 0.897 0.658 Y
0.562 0.721 0.841 Y
0.761 0.103 0.658 Y
0.880 0.721 0.159 Y
0.203 0.500 0.703 Ho
0.500 0.500 0.000 Ho
0.797 0.500 0.297 Ho
```

=====

## PmY4Ho8 (PBE)

Data for a geometry-optimized PmY4Ho8 structure.

Calculated values
- Formation energy from the elements: 0.199 eV per atom
- Total magnetization: 0.00 μB per formula unit

```
PmY4Ho8
1.0
3.658 2.112 8.965
-3.658 2.112 8.965
0.000 -4.224 8.965
Pm Y Ho
1 4 8
Direct
0.000 0.000 0.000 Pm
0.000 0.000 0.500 Y
0.000 0.500 0.000 Y
0.500 0.000 0.000 Y
0.500 0.500 0.500 Y
0.250 0.250 0.692 Ho
0.250 0.692 0.250 Ho
0.282 0.282 0.282 Ho
0.308 0.750 0.750 Ho
0.692 0.250 0.250 Ho
0.718 0.718 0.718 Ho
0.750 0.308 0.750 Ho
0.750 0.750 0.308 Ho
```

=====

## Pm8Y3Ho (PBE)

Data for a geometry-optimized Pm8Y3Ho structure.

Calculated values
- Formation energy from the elements: 0.023 eV per atom
- Total magnetization: 0.00 μB per formula unit

```
Pm8Y3Ho
1.0
6.367 0.000 0.000
3.167 7.999 0.000
3.179 -0.447 7.995
Pm Y Ho
8 3 1
Direct
0.000 0.000 0.000 Pm
0.000 0.081 0.582 Pm
0.000 0.582 0.081 Pm
0.332 0.250 0.749 Pm
0.332 0.749 0.250 Pm
0.667 0.334 0.334 Pm
0.667 0.834 0.833 Pm
0.998 0.501 0.501 Pm
0.334 0.167 0.167 Y
0.664 0.416 0.915 Y
0.664 0.915 0.416 Y
0.334 0.667 0.667 Ho
```

=====

## Pm15Y4Ho (PBE)

Data for a geometry-optimized Pm15Y4Ho structure.

Calculated values
- Formation energy from the elements: 0.012 eV per atom
- Total magnetization: 0.00 μB per formula unit

```
Pm15Y4Ho
1.0
5.137 0.000 0.000
0.000 5.137 0.000
0.000 0.000 25.594
Pm Y Ho
15 4 1
Direct
0.000 0.000 0.000 Pm
0.000 0.000 0.200 Pm
0.000 0.000 0.400 Pm
0.000 0.000 0.600 Pm
0.000 0.000 0.800 Pm
0.000 0.500 0.099 Pm
0.000 0.500 0.300 Pm
0.000 0.500 0.500 Pm
0.000 0.500 0.700 Pm
0.000 0.500 0.901 Pm
0.500 0.000 0.099 Pm
0.500 0.000 0.300 Pm
0.500 0.000 0.500 Pm
0.500 0.000 0.700 Pm
0.500 0.000 0.901 Pm
0.500 0.500 0.200 Y
0.500 0.500 0.400 Y
0.500 0.500 0.600 Y
0.500 0.500 0.800 Y
0.500 0.500 0.000 Ho
```

=====

## Pm2Y5Ho4 (PBE)

Data for a geometry-optimized Pm2Y5Ho4 structure.

Calculated values
- Formation energy from the elements: 0.021 eV per atom
- Energy above the lowest structure with this stoichiometry: 0 meV/atom
- Total magnetization: 0.00 μB per formula unit

```
Pm2Y5Ho4
1.0
3.567 0.000 0.000
0.005 8.743 0.000
1.775 2.891 11.337
Pm Y Ho
2 5 4
Direct
0.090 0.226 0.320 Pm
0.910 0.774 0.680 Pm
0.000 0.500 0.500 Y
0.273 0.684 0.954 Y
0.363 0.408 0.774 Y
0.637 0.592 0.226 Y
0.727 0.316 0.046 Y
0.182 0.953 0.136 Ho
0.453 0.137 0.593 Ho
0.547 0.863 0.407 Ho
0.818 0.047 0.864 Ho
```

=====

## Pm5Y5Ho (PBE)

Data for a geometry-optimized Pm5Y5Ho structure.

Calculated values
- Formation energy from the elements: 0.316 eV per atom
- Energy above the lowest structure with this stoichiometry: 50 meV/atom
- Total magnetization: 0.00 μB per formula unit

```
Pm5Y5Ho
1.0
6.158 0.000 0.000
-3.079 5.333 0.000
0.000 0.000 11.491
Pm Y Ho
5 5 1
Direct
0.000 0.000 0.237 Pm
0.000 0.000 0.763 Pm
0.341 0.170 0.000 Pm
0.830 0.170 0.000 Pm
0.830 0.659 0.000 Pm
0.000 0.000 0.500 Y
0.333 0.667 0.182 Y
0.333 0.667 0.818 Y
0.667 0.333 0.340 Y
0.667 0.333 0.660 Y
0.333 0.667 0.500 Ho
```

=====

## Pm2Y5Ho4 (PBE)

Data for a geometry-optimized Pm2Y5Ho4 structure.

Calculated values
- Formation energy from the elements: 0.167 eV per atom
- Energy above the lowest structure with this stoichiometry: 147 meV/atom
- Total magnetization: 0.00 μB per formula unit

```
Pm2Y5Ho4
1.0
8.281 -3.339 0.000
8.281 3.339 0.000
-1.114 0.000 6.564
Pm Y Ho
2 5 4
Direct
0.202 0.202 0.298 Pm
0.798 0.798 0.702 Pm
0.000 0.000 0.500 Y
0.173 0.648 0.092 Y
0.352 0.827 0.908 Y
0.648 0.173 0.092 Y
0.827 0.352 0.908 Y
0.244 0.244 0.804 Ho
0.413 0.413 0.595 Ho
0.587 0.587 0.405 Ho
0.756 0.756 0.196 Ho
```

=====

## Pm6YHo5 (PBE)

Data for a geometry-optimized Pm6YHo5 structure.

Calculated values
- Formation energy from the elements: 0.016 eV per atom
- Total magnetization: 0.00 μB per formula unit

```
Pm6YHo5
1.0
-2.548 5.047 7.637
2.548 -5.047 7.637
2.548 5.047 -7.637
Pm Y Ho
6 1 5
Direct
0.082 0.333 0.749 Pm
0.249 0.000 0.249 Pm
0.416 0.667 0.749 Pm
0.584 0.333 0.251 Pm
0.751 0.000 0.751 Pm
0.918 0.667 0.251 Pm
0.500 0.500 0.000 Y
0.000 0.500 0.500 Ho
0.167 0.167 0.000 Ho
0.333 0.833 0.500 Ho
0.667 0.167 0.500 Ho
0.833 0.833 0.000 Ho
```

=====

## Pm6Y2Ho (PBE)

Data for a geometry-optimized Pm6Y2Ho structure.

Calculated values
- Formation energy from the elements: 0.156 eV per atom
- Energy above the lowest structure with this stoichiometry: 139 meV/atom
- Total magnetization: 0.00 μB per formula unit

```
Pm6Y2Ho
1.0
-2.837 3.522 7.725
2.837 -3.522 7.725
2.837 3.522 -7.725
Pm Y Ho
6 2 1
Direct
0.118 0.389 0.729 Pm
0.213 0.213 0.000 Pm
0.340 0.611 0.729 Pm
0.660 0.389 0.271 Pm
0.787 0.787 0.000 Pm
0.882 0.611 0.271 Pm
0.365 0.865 0.500 Y
0.635 0.135 0.500 Y
0.000 0.000 0.000 Ho
```

=====

## Pm4Y19Ho6 (PBE)

Data for a geometry-optimized Pm4Y19Ho6 structure.

Calculated values
- Formation energy from the elements: 0.385 eV per atom
- Total magnetization: 0.00 μB per formula unit

```
Pm4Y19Ho6
1.0
-6.255 6.255 6.255
6.255 -6.255 6.255
6.255 6.255 -6.255
Pm Y Ho
4 19 6
Direct
0.000 0.000 0.359 Pm
0.000 0.359 0.000 Pm
0.359 0.000 0.000 Pm
0.641 0.641 0.641 Pm
0.000 0.000 0.000 Y
0.000 0.262 0.262 Y
0.000 0.738 0.738 Y
0.012 0.218 0.672 Y
0.205 0.988 0.660 Y
0.218 0.672 0.012 Y
0.262 0.000 0.262 Y
0.262 0.262 0.000 Y
0.328 0.546 0.340 Y
0.340 0.328 0.546 Y
0.454 0.782 0.795 Y
0.546 0.340 0.328 Y
0.660 0.205 0.988 Y
0.672 0.012 0.218 Y
0.738 0.000 0.738 Y
0.738 0.738 0.000 Y
0.782 0.795 0.454 Y
0.795 0.454 0.782 Y
0.988 0.660 0.205 Y
0.124 0.500 0.624 Ho
0.376 0.876 0.500 Ho
0.500 0.376 0.876 Ho
0.500 0.624 0.124 Ho
0.624 0.124 0.500 Ho
0.876 0.500 0.376 Ho
```

=====

## Pm3Y4Ho5 (PBE)

Data for a geometry-optimized Pm3Y4Ho5 structure.

Calculated values
- Formation energy from the elements: 0.019 eV per atom
- Energy above the lowest structure with this stoichiometry: 0 meV/atom
- Total magnetization: 0.00 μB per formula unit

```
Pm3Y4Ho5
1.0
6.183 0.000 0.000
-0.021 7.143 0.000
-0.015 -0.002 8.744
Pm Y Ho
3 4 5
Direct
0.000 0.000 0.000 Pm
0.167 0.751 0.668 Pm
0.833 0.249 0.332 Pm
0.167 0.250 0.667 Y
0.333 0.500 0.332 Y
0.667 0.500 0.668 Y
0.833 0.750 0.333 Y
0.000 0.500 0.000 Ho
0.335 0.000 0.333 Ho
0.500 0.250 0.000 Ho
0.500 0.750 0.000 Ho
0.665 0.000 0.667 Ho
```

=====

## Pm2Y5Ho5 (PBE)

Data for a geometry-optimized Pm2Y5Ho5 structure.

Calculated values
- Formation energy from the elements: 0.021 eV per atom
- Total magnetization: 0.00 μB per formula unit

```
Pm2Y5Ho5
1.0
9.267 -1.781 0.000
9.267 1.781 0.000
-2.047 0.000 11.638
Pm Y Ho
2 5 5
Direct
0.084 0.084 0.250 Pm
0.916 0.916 0.750 Pm
0.334 0.334 0.499 Y
0.416 0.416 0.250 Y
0.500 0.500 0.000 Y
0.584 0.584 0.750 Y
0.666 0.666 0.501 Y
0.000 0.000 0.500 Ho
0.168 0.168 0.001 Ho
0.250 0.250 0.752 Ho
0.750 0.750 0.248 Ho
0.832 0.832 0.999 Ho
```

=====

## Pm5Y4Ho2 (PBE)

Data for a geometry-optimized Pm5Y4Ho2 structure.

Calculated values
- Formation energy from the elements: 0.115 eV per atom
- Energy above the lowest structure with this stoichiometry: 0 meV/atom
- Total magnetization: 0.00 μB per formula unit

```
Pm5Y4Ho2
1.0
5.589 -3.650 0.000
5.589 3.650 0.000
-2.844 0.000 8.943
Pm Y Ho
5 4 2
Direct
0.000 0.000 0.000 Pm
0.214 0.655 0.731 Pm
0.345 0.786 0.269 Pm
0.655 0.214 0.731 Pm
0.786 0.345 0.269 Pm
0.304 0.304 0.997 Y
0.334 0.334 0.381 Y
0.666 0.666 0.619 Y
0.696 0.696 0.003 Y
0.146 0.146 0.616 Ho
0.854 0.854 0.384 Ho
```